(1)
GGA-PBE Ho5ErTh3, relaxed; calculated total energy = -89.3 eV per cell; calculated volume = 624.8 Å³/cell; density = 8.973 Mg/m³; energy of formation from the pure elements = 0.5604 eV per atom; D(E_F) = 27.53 states/eV per cell
1.0
7.415 0.461 -0.785
2.473 7.005 -0.785
2.319 1.751 11.929
Ho Er Th
10 2 6
Direct
0.939 0.329 0.225
0.328 0.672 0.000
0.743 0.743 0.023
0.558 0.558 0.378
0.442 0.442 0.622
0.257 0.257 0.977
0.329 0.939 0.225
0.672 0.328 0.000
0.061 0.671 0.775
0.671 0.061 0.775
0.139 0.139 0.733
0.861 0.861 0.267
0.622 0.622 0.783
0.740 0.740 0.544
0.000 0.000 0.000
0.000 0.000 0.500
0.378 0.378 0.217
0.260 0.260 0.456



(2)
GGA-PBE Si2NiP, relaxed; calculated total energy = -20.9 eV per cell; raw formation energy = 274.4 meV per atom; calculated volume = 52.5 Å³/cell; density = 4.611 Mg/m³; D(E_F) = 1.82 states/eV per cell
1.0
2.597 0.000 0.000
0.000 4.401 0.000
0.000 0.000 4.596
Ni P Si
1 1 2
Direct
0.500 0.000 0.500
0.000 0.500 0.500
0.000 0.000 0.000
0.500 0.500 0.000



(3)
GGA-PBE CaBeTlSi2, relaxed; calculated total energy = -11.0 eV per cell; raw formation energy = 1595.6 meV per atom; calculated volume = 172.6 Å³/cell; density = 2.978 Mg/m³; D(E_F) = 4.38 states/eV per cell
1.0
5.406 0.000 0.000
0.000 5.906 0.000
0.000 0.000 5.406
Be Tl Si Ca
1 1 2 1
Direct
0.500 0.500 0.500
0.000 0.500 0.000
0.000 0.000 0.500
0.500 0.000 0.000
0.000 0.000 0.000



(4)
GGA-PBE Ce6Te5Pb, relaxed; calculated total energy = -69.5 eV per cell; raw formation energy = -1210.8 meV per atom; calculated volume = 388.9 Å³/cell; density = 7.198 Mg/m³; D(E_F) = 42.65 states/eV per cell
1.0
7.841 0.185 0.000
2.387 7.422 0.000
1.193 3.711 6.734
Ce Te Pb
6 5 1
Direct
0.749 0.084 0.334
0.251 0.582 0.334
0.250 0.251 0.000
0.750 0.749 0.000
0.749 0.418 0.666
0.251 0.916 0.666
0.500 0.166 0.667
0.000 0.333 0.334
0.500 0.500 0.000
0.000 0.667 0.666
0.500 0.834 0.333
0.000 0.000 0.000



(5)
GGA-PBE CaTbDy2Hg4, relaxed; calculated total energy = -21.1 eV per cell; calculated volume = 207.9 Å³/cell; density = 10.594 Mg/m³; energy of formation from the pure elements = -0.5110 eV per atom; D(E_F) = 4.55 states/eV per cell
1.0
5.276 0.000 0.000
2.638 4.569 0.000
2.638 1.523 8.625
Ca Tb Dy Hg
1 1 2 4
Direct
0.000 0.000 0.000
0.500 0.500 0.500
0.749 0.749 0.754
0.251 0.251 0.246
0.376 0.376 0.871
0.874 0.874 0.378
0.126 0.126 0.622
0.624 0.624 0.129



(6)
GGA-PBE BaZr3Re, relaxed; calculated total energy = -27.6 eV per cell; calculated volume = 135.8 Å³/cell; density = 7.301 Mg/m³; energy of formation from the pure elements = 2.4803 eV per atom; energy relative to the lowest polymorph listed for this composition = 2.054 eV per atom; D(E_F) = 5.09 states/eV per cell
1.0
-1.647 1.010 4.764
-4.609 -1.945 -1.181
1.571 -4.650 1.529
Re Ba Zr
1 1 3
Direct
0.500 0.500 0.500
0.000 0.000 0.000
0.000 0.500 0.000
0.000 0.000 0.500
0.500 0.000 0.000



(7)
GGA-PBE TeHAu2, relaxed; calculated total energy = -24.3 eV per cell; calculated volume = 153.6 Å³/cell; density = 11.295 Mg/m³; energy relative to the lowest polymorph listed for this composition = 0.000 eV per atom; D(E_F) = 2.91 states/eV per cell
1.0
5.111 0.000 0.000
0.000 5.111 0.000
2.555 2.555 5.883
H Te Au
2 2 4
Direct
0.500 0.500 0.000
0.250 0.750 0.500
0.000 0.000 0.000
0.750 0.250 0.500
0.488 0.125 0.250
0.262 0.625 0.250
0.375 0.512 0.750
0.875 0.738 0.750